Computed, not measured: a relaxed ZrSc2Mo crystal at the PBE-GGA level of DFT.

Lattice parameters (Å, degrees): 4.1230 4.1230 4.8540 90.00 90.00 90.00
Atoms (fractional coordinates):
Zr: 0.0000 0.0000 0.0000
Sc: 0.0000 0.5000 0.5000
Sc: 0.5000 0.0000 0.5000
Mo: 0.5000 0.5000 0.0000

## Properties
Offset from the most stable computed form: 0.33 eV/f.u.
Total energy: -7.87 eV/atom
Space-group type: P4/mmm, No. 123

***

Computed, not measured: a relaxed Fe2CoIr crystal at the PBE-GGA level of DFT.

Lattice parameters (Å, degrees): 4.1745 4.1745 2.9276 90.00 90.00 90.00
Atoms (fractional coordinates):
Fe: 0.0000 0.5000 0.0000
Fe: 0.5000 0.0000 0.0000
Co: 0.0000 0.0000 0.5000
Ir: 0.5000 0.5000 0.5000

## Properties
Total energy: -8.23 eV/atom
Space-group type: P4/mmm, No. 123

***

Computed, not measured: a relaxed ScI2N2 crystal at the PBE-GGA level of DFT.

Lattice parameters (Å, degrees): 4.7283 4.7283 4.1022 90.00 90.00 90.00
Atoms (fractional coordinates):
Sc: 0.0000 0.0000 0.0000
I: 0.0000 0.5000 0.5000
I: 0.5000 0.0000 0.5000
N: 0.5000 0.5000 0.0000
N: 0.5000 0.5000 0.5000

## Properties
Offset from the most stable computed form: 2.76 eV/f.u.
Energy relative to the elements, uncorrected: 1.3352 eV/atom
Total energy: -3.88 eV/atom
Space-group type: P4/mmm, No. 123

***

Computed, not measured: a relaxed VIn2W crystal at the PBE-GGA level of DFT.

Lattice parameters (Å, degrees): 6.6531 6.6531 6.6531 90.00 90.00 90.00
Atoms (fractional coordinates):
V: 0.0000 0.0000 0.0000
V: 0.0000 0.5000 0.5000
V: 0.5000 0.0000 0.5000
V: 0.5000 0.5000 0.0000
In: 0.2500 0.2500 0.2500
In: 0.2500 0.2500 0.7500
In: 0.2500 0.7500 0.2500
In: 0.2500 0.7500 0.7500
In: 0.7500 0.2500 0.2500
In: 0.7500 0.2500 0.7500
In: 0.7500 0.7500 0.2500
In: 0.7500 0.7500 0.7500
W: 0.0000 0.0000 0.5000
W: 0.0000 0.5000 0.0000
W: 0.5000 0.0000 0.0000
W: 0.5000 0.5000 0.5000

## Properties
Offset from the most stable computed form: 0.00 eV/f.u.
Total energy: -6.25 eV/atom
Space-group type: Fm-3m, No. 225

***

Computed, not measured: a relaxed CuTcRh crystal at the PBE-GGA level of DFT.

Lattice parameters (Å, degrees): 2.7594 4.5320 13.4896 90.00 90.00 90.00
Atoms (fractional coordinates):
Cu: 0.0000 0.0000 0.0000
Cu: 0.0000 0.5000 0.5000
Cu: 0.5000 0.0000 0.5000
Cu: 0.5000 0.5000 0.0000
Tc: 0.0000 0.0000 0.6674
Tc: 0.0000 0.5000 0.1674
Tc: 0.5000 0.0000 0.1674
Tc: 0.5000 0.5000 0.6674
Rh: 0.0000 0.0000 0.3332
Rh: 0.0000 0.5000 0.8332
Rh: 0.5000 0.0000 0.8332
Rh: 0.5000 0.5000 0.3332

## Properties
Offset from the most stable computed form: 0.81 eV/f.u.
Total energy: -7.04 eV/atom
Space-group type: Fmm2, No. 42

***

Computed, not measured: a relaxed LaHo6Er crystal at the PBE-GGA level of DFT.

Lattice parameters (Å, degrees): 6.5398 6.5399 7.4798 115.70 114.59 90.25
Atoms (fractional coordinates):
La: 0.0000 0.0000 0.0000
Ho: 0.0894 0.2680 0.5352
Ho: 0.4382 0.7631 0.5271
Ho: 0.5001 0.2533 0.9990
Ho: 0.4999 0.7467 0.0010
Ho: 0.5618 0.2369 0.4729
Ho: 0.9106 0.7320 0.4648
Er: 0.0000 0.5000 0.0000

## Properties
Total energy: -4.42 eV/atom
Space-group type: P-1, No. 2

***

Computed, not measured: a relaxed CuP2S6 crystal at the PBE-GGA level of DFT.

Lattice parameters (Å, degrees): 5.7750 5.9827 7.8434 70.58 73.28 64.67
Atoms (fractional coordinates):
Cu: 0.0000 0.0000 0.0000
P: 0.5497 0.6960 0.1937
P: 0.6738 0.7202 0.8910
S: 0.2121 0.0164 0.1966
S: 0.3643 0.7805 0.7888
S: 0.5180 0.3702 0.3398
S: 0.7611 0.0444 0.8000
S: 0.8392 0.7486 0.2590
S: 0.9975 0.4204 0.8330

## Properties
Energy relative to the elements, uncorrected: -0.0160 eV/atom
Total energy: -4.42 eV/atom
Space-group type: P1, No. 1

***

Computed, not measured: a relaxed CeDyEr2Tl4 crystal at the PBE-GGA level of DFT.

Lattice parameters (Å, degrees): 9.3766 9.3766 9.3766 33.34 33.34 33.34
Atoms (fractional coordinates):
Ce: 0.0000 0.0000 0.0000
Dy: 0.5000 0.5000 0.5000
Er: 0.2494 0.2494 0.2494
Er: 0.7506 0.7506 0.7506
Tl: 0.1263 0.1263 0.1263
Tl: 0.3766 0.3766 0.3766
Tl: 0.6234 0.6234 0.6234
Tl: 0.8737 0.8737 0.8737

## Properties
Total energy: -3.93 eV/atom
Space-group type: R-3m, No. 166

***

Computed, not measured: a relaxed Sr2CaAg2 crystal at the PBE-GGA level of DFT.

Lattice parameters (Å, degrees): 5.1203 5.1203 13.5245 90.00 90.00 90.00
Atoms (fractional coordinates):
Sr: 0.0000 0.5000 0.2500
Sr: 0.0000 0.5000 0.7500
Sr: 0.5000 0.0000 0.2500
Sr: 0.5000 0.0000 0.7500
Ca: 0.0000 0.0000 0.0000
Ca: 0.5000 0.5000 0.5000
Ag: 0.0000 0.0000 0.3993
Ag: 0.0000 0.0000 0.6007
Ag: 0.5000 0.5000 0.1007
Ag: 0.5000 0.5000 0.8993

## Properties
Offset from the most stable computed form: 1.06 eV/f.u.
Total energy: -2.28 eV/atom
Space-group type: I4/mmm, No. 139

***

Computed, not measured: a relaxed FeCo2Pd crystal at the PBE-GGA level of DFT.

Lattice parameters (Å, degrees): 6.6186 6.6186 4.9837 90.00 90.00 90.00
Atoms (fractional coordinates):
Fe: 0.0000 0.0000 0.0000
Fe: 0.0000 0.5000 0.2500
Fe: 0.5000 0.0000 0.7500
Fe: 0.5000 0.5000 0.5000
Co: 0.2289 0.2500 0.1250
Co: 0.2500 0.7289 0.3750
Co: 0.2500 0.7711 0.8750
Co: 0.2711 0.2500 0.6250
Co: 0.7289 0.7500 0.6250
Co: 0.7500 0.2289 0.8750
Co: 0.7500 0.2711 0.3750
Co: 0.7711 0.7500 0.1250
Pd: 0.0000 0.0000 0.5000
Pd: 0.0000 0.5000 0.7500
Pd: 0.5000 0.0000 0.2500
Pd: 0.5000 0.5000 0.0000

## Properties
Offset from the most stable computed form: 1.85 eV/f.u.
Total energy: -6.48 eV/atom
Space-group type: I-42d, No. 122

***

Computed, not measured: a relaxed PmSm4Y2Sc crystal at the PBE-GGA level of DFT.

Lattice parameters (Å, degrees): 5.0528 5.0629 10.0553 90.00 90.00 90.00
Atoms (fractional coordinates):
Pm: 0.0000 0.0000 0.0000
Sm: 0.0000 0.5000 0.2454
Sm: 0.0000 0.5000 0.7546
Sm: 0.5000 0.0000 0.2457
Sm: 0.5000 0.0000 0.7543
Y: 0.0000 0.0000 0.5000
Y: 0.5000 0.5000 0.5000
Sc: 0.5000 0.5000 0.0000

## Properties
Total energy: -5.33 eV/atom
Space-group type: Pmmm, No. 47

***

Computed, not measured: a relaxed KCd2Sb crystal at the PBE-GGA level of DFT.

Lattice parameters (Å, degrees): 3.4154 3.4154 10.1194 90.00 90.00 90.00
Atoms (fractional coordinates):
K: 0.0000 0.0000 0.0000
Cd: 0.5000 0.5000 0.2705
Cd: 0.5000 0.5000 0.7295
Sb: 0.0000 0.0000 0.5000

## Properties
Energy relative to the elements, uncorrected: 0.0363 eV/atom
Total energy: -1.73 eV/atom
Space-group type: P4/mmm, No. 123

***

Computed, not measured: a relaxed ScGaReSi2 crystal at the PBE-GGA level of DFT.

Lattice parameters (Å, degrees): 4.6341 4.6341 4.8430 90.00 90.00 90.00
Atoms (fractional coordinates):
Sc: 0.0000 0.0000 0.0000
Ga: 0.5000 0.5000 0.0000
Re: 0.5000 0.5000 0.5000
Si: 0.0000 0.5000 0.5000
Si: 0.5000 0.0000 0.5000

## Properties
Energy relative to the elements, uncorrected: 0.2924 eV/atom
Total energy: -6.24 eV/atom
Space-group type: P4/mmm, No. 123

***

Computed, not measured: a relaxed LaAuS2 crystal at the PBE-GGA level of DFT.

Lattice parameters (Å, degrees): 7.9801 5.6872 11.4491 90.00 90.00 90.00
Atoms (fractional coordinates):
La: 0.1378 0.2500 0.1148
La: 0.3622 0.7500 0.6148
La: 0.6378 0.2500 0.3852
La: 0.8622 0.7500 0.8852
Au: 0.2012 0.2500 0.4569
Au: 0.2988 0.7500 0.9569
Au: 0.7012 0.2500 0.0431
Au: 0.7988 0.7500 0.5431
S: 0.0216 0.7500 0.6711
S: 0.0764 0.7500 0.0900
S: 0.4236 0.2500 0.5900
S: 0.4784 0.2500 0.1711
S: 0.5216 0.7500 0.8289
S: 0.5764 0.7500 0.4100
S: 0.9236 0.2500 0.9100
S: 0.9784 0.2500 0.3289

## Properties
Offset from the most stable computed form: 0.39 eV/f.u.
Energy relative to the elements, uncorrected: -1.3015 eV/atom
Total energy: -5.42 eV/atom
Space-group type: Pnma, No. 62

***

Computed, not measured: a relaxed BaCu3Cl crystal at the PBE-GGA level of DFT.

Lattice parameters (Å, degrees): 5.7609 5.7609 5.7609 90.00 90.00 90.00
Atoms (fractional coordinates):
Ba: 0.0000 0.0000 0.0000
Cu: 0.0000 0.0000 0.5000
Cu: 0.0000 0.5000 0.0000
Cu: 0.5000 0.0000 0.0000
Cl: 0.5000 0.5000 0.5000

## Properties
Offset from the most stable computed form: 3.63 eV/f.u.
Energy relative to the elements, uncorrected: 1.2190 eV/atom
Total energy: -1.99 eV/atom
Space-group type: Pm-3m, No. 221

***

Computed, not measured: a relaxed PmSiAgHg crystal at the PBE-GGA level of DFT.

Lattice parameters (Å, degrees): 7.0610 7.0610 7.0610 90.00 90.00 90.00
Atoms (fractional coordinates):
Pm: 0.0000 0.0000 0.0000
Pm: 0.0000 0.5000 0.5000
Pm: 0.5000 0.0000 0.5000
Pm: 0.5000 0.5000 0.0000
Si: 0.2500 0.2500 0.2500
Si: 0.2500 0.7500 0.7500
Si: 0.7500 0.2500 0.7500
Si: 0.7500 0.7500 0.2500
Ag: 0.0000 0.0000 0.5000
Ag: 0.0000 0.5000 0.0000
Ag: 0.5000 0.0000 0.0000
Ag: 0.5000 0.5000 0.5000
Hg: 0.2500 0.2500 0.7500
Hg: 0.2500 0.7500 0.2500
Hg: 0.7500 0.2500 0.2500
Hg: 0.7500 0.7500 0.7500

## Properties
Energy relative to the elements, uncorrected: -0.2171 eV/atom
Total energy: -3.55 eV/atom
Space-group type: F-43m, No. 216

***

Computed, not measured: a relaxed Ho3AgTe crystal at the PBE-GGA level of DFT.

Lattice parameters (Å, degrees): 8.2439 3.9380 9.0801 90.00 104.17 90.00
Atoms (fractional coordinates):
Ho: 0.0151 0.2500 0.1610
Ho: 0.2234 0.7500 0.5517
Ho: 0.3762 0.7500 0.1015
Ho: 0.6238 0.2500 0.8985
Ho: 0.7766 0.2500 0.4483
Ho: 0.9849 0.7500 0.8390
Ag: 0.2484 0.2500 0.8330
Ag: 0.7516 0.7500 0.1670
Te: 0.3713 0.2500 0.3545
Te: 0.6287 0.7500 0.6455

## Properties
Energy relative to the elements, uncorrected: -0.5260 eV/atom
Total energy: -4.47 eV/atom
Space-group type: P2_1/m, No. 11

***

Computed, not measured: a relaxed Tb2MgZn3 crystal at the PBE-GGA level of DFT.

Lattice parameters (Å, degrees): 3.5209 3.5209 10.3500 90.00 90.00 90.00
Atoms (fractional coordinates):
Tb: 0.0000 0.0000 0.1735
Tb: 0.0000 0.0000 0.8265
Mg: 0.0000 0.0000 0.5000
Zn: 0.5000 0.5000 0.0000
Zn: 0.5000 0.5000 0.3542
Zn: 0.5000 0.5000 0.6458

## Properties
Offset from the most stable computed form: 0.34 eV/f.u.
Total energy: -2.71 eV/atom
Space-group type: P4/mmm, No. 123

***

Computed, not measured: a relaxed BeFeHg crystal at the PBE-GGA level of DFT.

Lattice parameters (Å, degrees): 4.1752 4.1752 2.8109 90.00 90.00 120.00
Atoms (fractional coordinates):
Be: 0.0000 0.0000 0.0000
Fe: 0.6667 0.3333 0.5000
Hg: 0.3333 0.6667 0.0000

## Properties
Offset from the most stable computed form: 0.32 eV/f.u.
Total energy: -3.69 eV/atom
Space-group type: P-6m2, No. 187

***

Computed, not measured: a relaxed GdPuInRh crystal at the PBE-GGA level of DFT.

Lattice parameters (Å, degrees): 7.2524 7.2524 7.2524 90.00 90.00 90.00
Atoms (fractional coordinates):
Gd: 0.0000 0.0000 0.0000
Gd: 0.0000 0.5000 0.5000
Gd: 0.5000 0.0000 0.5000
Gd: 0.5000 0.5000 0.0000
Pu: 0.0000 0.0000 0.5000
Pu: 0.0000 0.5000 0.0000
Pu: 0.5000 0.0000 0.0000
Pu: 0.5000 0.5000 0.5000
In: 0.2500 0.2500 0.2500
In: 0.2500 0.7500 0.7500
In: 0.7500 0.2500 0.7500
In: 0.7500 0.7500 0.2500
Rh: 0.2500 0.2500 0.7500
Rh: 0.2500 0.7500 0.2500
Rh: 0.7500 0.2500 0.2500
Rh: 0.7500 0.7500 0.7500

## Properties
Total energy: -9.92 eV/atom
Space-group type: F-43m, No. 216